# 1
Density functional theory data (GGA-PBEsol) for a relaxed structure of ZrRe2Cl.

Its uncorrected formation energy is -0.089 eV/atom. The calculation puts the density of states at the Fermi level at 3.3 states/eV/cell. The total moment comes out at 0.00 μB per formula unit. The density is 12.35 g/cm³. As for the space-group type: No. 99.

Lattice parameters (Å, degrees): 3.002 3.002 7.448 90.00 90.00 90.00
Element x y z (fractional)
Re: 0.000 0.000 0.036
Re: 0.500 0.500 0.226
Zr: 0.000 0.000 0.505
Cl: 0.500 0.500 0.733

=====

# 2
Density functional theory data (GGA-PBEsol) for a relaxed structure of MgAg2W.

The value obtained for the energy of formation is 0.281 eV per atom. The calculation puts the density of states at the Fermi level at 1.8 states/eV/cell. The total moment comes out at 0.00 μB per formula unit. The density is 10.66 g/cm³. As for the space-group type: No. 99.

Lattice parameters (Å, degrees): 2.778 2.778 8.556 90.00 90.00 90.00
Element x y z (fractional)
Ag: 0.000 0.000 0.999
Ag: 0.500 0.500 0.249
Mg: 0.000 0.000 0.500
W: 0.500 0.500 0.752

=====

# 3
Density functional theory data (GGA-PBEsol) for a relaxed structure of Tc3PtW.

The value obtained for the energy of formation is 1.970 eV per atom. The calculation puts the density of states at the Fermi level at 5.9 states/eV/cell. The total moment comes out at 0.00 μB per formula unit. The density is 11.84 g/cm³. As for the space-group type: No. 221.

Lattice parameters (Å, degrees): 4.553 4.553 4.553 90.00 90.00 90.00
Element x y z (fractional)
W: 0.000 0.000 0.000
Pt: 0.500 0.500 0.500
Tc: 0.000 0.500 0.000
Tc: 0.000 0.000 0.500
Tc: 0.500 0.000 0.000

=====

Total DFT energy (no corrections) in eV per atom, matching the order above: -9.530, -5.256, -8.944